Compound: DyReP2
Source: Alexandria
Functional: GGA-PBE
Structure: optimized geometry

a = 4.1011 Å, b = 4.1011 Å, c = 5.2542 Å
α = 67.03°, β = 67.03°, γ = 60.00°
Closest atoms and distances in Å follow each position.
Fractional coordinates of all 4 atoms:
P 0.7164 0.7164 0.8507  3 Re 2.47, 3 P 2.75
P 0.2836 0.2836 0.1493  3 Re 2.47, 3 P 2.75
Dy 0.5000 0.5000 0.5000  8 P 2.88-3.05
Re 0.0000 0.0000 0.0000  6 P 2.47

Computed properties:
**SG**: R-3m
**Energy relative to the elements**: -0.75 eV per atom

Compound: Dy2ReP
Source: Alexandria
Functional: GGA-PBE
Structure: optimized geometry

a = 3.4884 Å, b = 3.4884 Å, c = 9.1579 Å
α = 79.02°, β = 79.02°, γ = 60.00°
Closest atoms and distances in Å follow each position.
Fractional coordinates of all 4 atoms:
Dy 0.1005 0.1005 0.6985  3 P 2.68, 1 Re 2.69
Dy 0.8995 0.8995 0.3015  3 P 2.68, 1 Re 2.69
P 0.5000 0.5000 0.5000  6 Dy 2.68
Re 0.0000 0.0000 0.0000  2 Dy 2.69

Computed properties:
**SG**: R-3m
**Energy relative to the elements**: 0.37 eV per atom